DFT (PBE-GGA) results for a relaxed Pm5CdTe4 crystal.

abc: 7.7281 7.7281 7.7281
angles: 99.61 99.61 131.78
Closest atoms and distances in Å follow each position.
Fractional positions:
Pm: 0.0000 0.0000 0.0000  2 Cd 3.16, 4 Te 3.16
Pm: 0.2023 0.5998 0.8021  1 Cd 3.13, 5 Te 3.15-3.17
Pm: 0.4002 0.2023 0.6024  1 Cd 3.13, 5 Te 3.15-3.17
Pm: 0.5998 0.7977 0.3976  1 Cd 3.13, 5 Te 3.15-3.17
Pm: 0.7977 0.4002 0.1979  1 Cd 3.13, 5 Te 3.15-3.17
Cd: 0.5000 0.5000 0.0000  6 Pm 3.13-3.16
Te: 0.0979 0.3013 0.3992  6 Pm 3.15-3.17
Te: 0.3013 0.9021 0.2035  6 Pm 3.15-3.17
Te: 0.6987 0.0979 0.7965  6 Pm 3.15-3.17
Te: 0.9021 0.6987 0.6008  6 Pm 3.15-3.17

Properties
Formation energy (no corrections)   -27.54 kcal/mol of atoms
Symmetry   I4/m (87)
Crystal system   tetragonal
Total energy   -4.918 eV per atom